Here is a geometry-optimized Ca2FeWN structure from Alexandria via LeMat-Bulk. Energies are from PBE.

Cell lengths 5.060, 5.060, 3.559 Å; angles 90.00, 90.00, 90.00 degrees
Positions (direct):
Ca 0.000 0.500 0.000
Ca 0.500 0.000 0.000
Fe 0.000 0.000 0.500
W 0.500 0.500 0.500
N 0.000 0.000 0.000

Summary:
- Space group: No. 123
- DOS(E_F): 0.687 states/eV per atom
- Magnetization: 2.94 μB/f.u.
- Formation energy from raw total energies: 495 meV/atom